The following is a DFT calculation (PBE) of an optimized crystal structure of Zr7In2N2.

Computed properties:
DOS(E_F) ... 7.82 states/eV/f.u.
Raw formation energy ... -0.518 eV per atom

a = 6.3270 Å, b = 6.0294 Å, c = 6.3270 Å
α = 84.86°, β = 113.10°, γ = 95.14°
Atoms (fractional coordinates):
N 0.7754 0.9762 0.2246
Zr 0.5060 0.7739 0.9392
Zr 0.0000 0.0000 0.0000
N 0.2246 0.0238 0.7754
Zr 0.4326 0.1898 0.5674
Zr 0.9392 0.2261 0.5060
In 0.1917 0.5000 0.1917
Zr 0.4940 0.2261 0.0608
In 0.8083 0.5000 0.8083
Zr 0.5674 0.8102 0.4326
Zr 0.0608 0.7739 0.4940